# 1
The following is a DFT calculation (meta-GGA SCAN) of Zn2BiMoS at its PBEsol-relaxed geometry.

```
data_Zn2BiMoS
_symmetry_space_group_name_H-M 'P 4/m m m'
_symmetry_Int_Tables_number 123
_symmetry_space_group_name_Hall '-P 4 2'
_cell_length_a 4.6750
_cell_length_b 4.6750
_cell_length_c 4.4596
_cell_angle_alpha 90.00
_cell_angle_beta 90.00
_cell_angle_gamma 90.00
loop_
_atom_site_label
_atom_site_type_symbol
_atom_site_fract_x
_atom_site_fract_y
_atom_site_fract_z
Zn1 Zn 0.0000 0.5000 0.0000
Bi1 Bi 0.0000 0.0000 0.5000
Mo1 Mo 0.5000 0.5000 0.5000
S1 S 0.5000 0.5000 0.0000
```

E_form (uncorrected): 2.92 eV per formula unit
crystal system: tetragonal
E: -147.20 eV for the cell shown

# 2
The following is a DFT calculation (meta-GGA SCAN) of In2TeMo at its PBEsol-relaxed geometry.

```
data_In2TeMo
_symmetry_space_group_name_H-M 'C m m m'
_symmetry_Int_Tables_number 65
_symmetry_space_group_name_Hall '-C 2 2'
_cell_length_a 6.2974
_cell_length_b 8.8713
_cell_length_c 3.0143
_cell_angle_alpha 90.00
_cell_angle_beta 90.00
_cell_angle_gamma 90.00
loop_
_atom_site_label
_atom_site_type_symbol
_atom_site_fract_x
_atom_site_fract_y
_atom_site_fract_z
In1 In 0.2500 0.2500 0.0000
Te1 Te 0.0000 0.0000 0.5000
Mo1 Mo 0.0000 0.5000 0.5000
```

E_form (uncorrected): 2.08 eV per formula unit
crystal system: orthorhombic
E: -273.65 eV for the cell shown